Entry 1:
A relaxed Pr2SbRh2 crystal, computed with GGA-PBE.

Cell and atoms, written as POSCAR:
```
Pr2SbRh2
1.0
5.6848 0.0000 0.0000
-2.8424 5.1234 0.0564
0.0000 -2.2680 7.9228
Pr Sb Rh
4 2 4
Direct
0.4997 0.2984 0.1512
0.2013 0.7016 0.3488
0.5003 0.7016 0.8488
0.7987 0.2984 0.6512
0.8403 0.0000 0.2500
0.1597 0.0000 0.7500
0.7318 0.7292 0.4995
0.0026 0.2708 0.0005
0.2682 0.2708 0.5005
0.9974 0.7292 0.9995
```

Results
VASP energy = -65.14 eV/cell
Space group = C2/c, No. 15
Distance to the lowest polymorph of the same formula = 0.0000 eV per atom

Entry 2:
A relaxed InHOs2 crystal, computed with GGA-PBE.

Cell and atoms, written as POSCAR:
```
InHOs2
1.0
0.0000 3.0565 3.0565
3.0565 0.0000 3.0565
3.0565 3.0565 0.0000
H Os In
1 2 1
Direct
0.0000 0.0000 0.0000
0.2500 0.2500 0.2500
0.7500 0.7500 0.7500
0.5000 0.5000 0.5000
```

Results
VASP energy = -22.75 eV/cell
Space group = Fm-3m, No. 225
Distance to the lowest polymorph of the same formula = 0.7733 eV per atom

Entry 3:
A relaxed Cu4Sn crystal, computed with GGA-PBE.

Cell and atoms, written as POSCAR:
```
Cu4Sn
1.0
4.8029 0.0000 0.0000
0.0000 4.8029 0.0000
0.0000 0.0000 4.8029
Sn Cu
1 4
Direct
0.5000 0.5000 0.5000
0.0000 0.0000 0.0000
0.5000 0.0000 0.5000
0.0000 0.5000 0.5000
0.5000 0.5000 0.0000
```

Results
Energy of formation from the pure elements = 0.998 eV/atom
VASP energy = -15.40 eV/cell
Space group = Pm-3m, No. 221
Distance to the lowest polymorph of the same formula = 0.8638 eV per atom

Entry 4:
A relaxed Ac5PmTe6 crystal, computed with GGA-PBE.

Cell and atoms, written as POSCAR:
```
Ac5PmTe6
1.0
-5.1669 5.0633 -3.7075
1.1101 -7.5351 -2.8407
-4.3152 -1.6898 6.6882
Ac Te Pm
5 6 1
Direct
0.8280 0.1720 0.5000
0.6651 0.3349 0.0000
0.5000 0.5000 0.5000
0.3349 0.6651 0.0000
0.1720 0.8280 0.5000
0.4034 0.0796 0.2417
0.9204 0.5966 0.7583
0.2394 0.2394 0.7509
0.7606 0.7606 0.2491
0.0796 0.4034 0.2417
0.5966 0.9204 0.7583
0.0000 0.0000 0.0000
```

Results
VASP energy = -61.83 eV/cell
Space group = C2/m, No. 12

Entry 5:
A relaxed BSe2O crystal, computed with GGA-PBE.

Cell and atoms, written as POSCAR:
```
BSe2O
1.0
1.9673 0.0000 6.3155
-0.9837 1.7038 6.3155
-0.9837 -1.7038 6.3155
B O Se
1 1 2
Direct
0.5000 0.5000 0.5000
0.0000 0.0000 0.0000
0.8985 0.8985 0.8985
0.1015 0.1015 0.1015
```

Results
VASP energy = -16.60 eV/cell
Space group = R-3m, No. 166
Distance to the lowest polymorph of the same formula = 0.0610 eV per atom

Entry 6:
A relaxed PmTmAlAg crystal, computed with GGA-PBE.

Cell and atoms, written as POSCAR:
```
PmTmAlAg
1.0
-1.8769 -0.9066 -2.8970
0.5145 -3.4518 0.7469
-6.3841 -0.0530 4.1528
Pm Tm Al Ag
1 1 1 1
Direct
0.0000 0.0000 0.8506
0.0000 0.0000 0.3528
0.5000 0.5000 0.5913
0.5000 0.5000 0.1334
```

Results
Energy of formation from the pure elements = -0.353 eV/atom
VASP energy = -17.23 eV/cell
Space group = P4mm, No. 99
Distance to the lowest polymorph of the same formula = 0.0000 eV per atom

Entry 7:
A relaxed CsK2ZnHg crystal, computed with GGA-PBE.

Cell and atoms, written as POSCAR:
```
CsK2ZnHg
1.0
6.6934 0.0000 0.0000
0.0000 6.6934 0.0000
0.0000 0.0000 5.7972
Cs Zn K Hg
1 1 2 1
Direct
0.5000 0.5000 0.5000
0.0000 0.0000 0.0000
0.0000 0.5000 0.0000
0.5000 0.0000 0.0000
0.0000 0.0000 0.5000
```

Results
Energy of formation from the pure elements = 0.043 eV/atom
VASP energy = -4.41 eV/cell
Space group = P4/mmm, No. 123
Distance to the lowest polymorph of the same formula = 0.0050 eV per atom

Entry 8:
A relaxed AgPbCl2 crystal, computed with GGA-PBE.

Cell and atoms, written as POSCAR:
```
AgPbCl2
1.0
5.1278 0.0000 0.0000
2.5639 4.4408 0.0000
2.5639 1.4803 4.1869
Pb Ag Cl
1 1 2
Direct
0.7500 0.7500 0.7500
0.5000 0.5000 0.5000
0.0000 0.0000 0.0000
0.2500 0.2500 0.2500
```

Results
VASP energy = -11.01 eV/cell
Space group = F-43m, No. 216
Distance to the lowest polymorph of the same formula = 0.3079 eV per atom

Entry 9:
A relaxed Co3Sn crystal, computed with GGA-PBE.

Cell and atoms, written as POSCAR:
```
Co3Sn
1.0
-3.6964 -1.6497 1.3079
2.2605 -1.4131 4.6062
-2.3010 4.7748 -0.4806
Co Sn
6 2
Direct
0.7500 0.1582 0.8418
0.2500 0.8418 0.6836
0.2500 0.3164 0.1582
0.7500 0.6836 0.8418
0.7500 0.1582 0.3164
0.2500 0.8418 0.1582
0.7500 0.6667 0.3333
0.2500 0.3333 0.6667
```

Results
Energy of formation from the pure elements = 0.091 eV/atom
VASP energy = -49.91 eV/cell
Space group = P6_3/mmc, No. 194

Entry 10:
A relaxed CaPr2ThSb4 crystal, computed with GGA-PBE.

Cell and atoms, written as POSCAR:
```
CaPr2ThSb4
1.0
4.5541 0.0000 0.0000
0.0000 7.8473 0.1411
0.0000 -2.7377 7.3832
Ca Pr Th Sb
1 2 1 4
Direct
0.5000 0.5000 0.0000
0.5000 0.0000 0.5000
0.0000 0.5000 0.5000
0.0000 0.0000 0.0000
0.5000 0.2476 0.2460
0.5000 0.7524 0.7540
0.0000 0.2480 0.7531
0.0000 0.7520 0.2469
```

Results
VASP energy = -44.07 eV/cell
Space group = P2/m, No. 10

Entry 11:
A relaxed SrCeAg2Br8 crystal, computed with GGA-PBE.

Cell and atoms, written as POSCAR:
```
SrCeAg2Br8
1.0
7.0048 -0.7068 0.0511
-0.7572 7.2700 1.0063
0.0741 1.3196 8.9425
Sr Ce Ag Br
1 1 2 8
Direct
0.0000 0.0000 0.5000
0.0000 0.0000 0.0000
0.5259 0.3422 0.6852
0.4741 0.6578 0.3148
0.1042 0.7589 0.2830
0.6347 0.7601 0.0314
0.8757 0.2121 0.1801
0.8958 0.2411 0.7170
0.3653 0.2399 0.9686
0.1243 0.7879 0.8199
0.5994 0.7415 0.5724
0.4006 0.2585 0.4276
```

Results
VASP energy = -42.09 eV/cell
Space group = P-1, No. 2

Entry 12:
A relaxed Hf2ZnPt2 crystal, computed with GGA-PBE.

Cell and atoms, written as POSCAR:
```
Hf2ZnPt2
1.0
-3.6610 6.6458 -1.3417
0.0638 -1.4909 -7.5593
-2.8430 -1.5108 0.2740
Zn Hf Pt
2 4 4
Direct
0.0000 0.0000 0.0000
0.5000 0.5000 0.0000
0.3388 0.8388 0.0000
0.8388 0.6612 0.0000
0.6612 0.1612 0.0000
0.1612 0.3388 0.0000
0.1336 0.6336 0.5000
0.6336 0.8664 0.5000
0.8664 0.3664 0.5000
0.3664 0.1336 0.5000
```

Results
Energy of formation from the pure elements = -0.675 eV/atom
VASP energy = -73.28 eV/cell
Space group = P4/mbm, No. 127

Entry 13:
A relaxed NbVSnMo crystal, computed with GGA-PBE.

Cell and atoms, written as POSCAR:
```
NbVSnMo
1.0
-4.1836 1.3915 1.3193
-1.6523 -1.2528 4.1085
-0.4355 3.1209 3.3540
Mo Sn Nb V
1 1 1 1
Direct
0.5000 0.5000 0.5000
0.2500 0.2500 0.2500
0.7500 0.7500 0.7500
0.0000 0.0000 0.0000
```

Results
Energy of formation from the pure elements = 0.009 eV/atom
VASP energy = -33.98 eV/cell
Space group = F-43m, No. 216

Entry 14:
A relaxed NaLa2PW crystal, computed with GGA-PBE.

Cell and atoms, written as POSCAR:
```
NaLa2PW
1.0
-5.4924 -1.3409 -0.1768
0.9573 -3.5246 -3.0041
0.7200 -3.5248 4.3650
P Na W La
1 1 1 2
Direct
0.0000 0.5000 0.0000
0.5000 0.5000 0.5000
0.0000 0.0000 0.0000
0.0000 0.0000 0.5000
0.5000 0.0000 0.0000
```

Results
Energy of formation from the pure elements = 0.140 eV/atom
VASP energy = -28.84 eV/cell
Space group = P4/mmm, No. 123

Entry 15:
A relaxed Fe2PCl crystal, computed with GGA-PBE.

Cell and atoms, written as POSCAR:
```
Fe2PCl
1.0
4.7845 -0.1419 -0.1410
-0.1418 4.7845 0.1410
-0.9008 -3.7419 2.8492
Cl Fe P
1 2 1
Direct
0.2500 0.7500 0.5000
0.9504 0.9504 0.0000
0.5496 0.5496 0.0000
0.7500 0.2500 0.5000
```

Results
VASP energy = -22.93 eV/cell
Space group = Immm, No. 71
Distance to the lowest polymorph of the same formula = 0.6160 eV per atom

Entry 16:
A relaxed PrGaI crystal, computed with GGA-PBE.

Cell and atoms, written as POSCAR:
```
PrGaI
1.0
4.2558 0.0000 0.7678
2.0586 3.7247 0.7678
-0.1013 -0.0598 12.7401
Pr Ga I
2 2 2
Direct
0.4435 0.4435 0.6696
0.5565 0.5565 0.3304
0.1589 0.1589 0.5234
0.8411 0.8411 0.4766
0.7214 0.7214 0.8359
0.2786 0.2786 0.1641
```

Results
VASP energy = -25.21 eV/cell
Space group = R-3m, No. 166

Entry 17:
A relaxed NbIn6Cl12 crystal, computed with GGA-PBE.

Cell and atoms, written as POSCAR:
```
NbIn6Cl12
1.0
-5.5325 -3.9301 -5.2681
-2.6448 -3.5721 7.3520
-4.1936 7.4606 0.7479
Nb In Cl
1 6 12
Direct
0.0000 0.0000 0.0000
0.1621 0.3300 0.6371
0.6700 0.3629 0.8379
0.3629 0.8379 0.6700
0.8379 0.6700 0.3629
0.3300 0.6371 0.1621
0.6371 0.1621 0.3300
0.5687 0.8190 0.4354
0.8190 0.4354 0.5687
0.4354 0.5687 0.8190
0.4313 0.1810 0.5646
0.1810 0.5646 0.4313
0.5646 0.4313 0.1810
0.0122 0.9467 0.7204
0.2796 0.9878 0.0533
0.0533 0.2796 0.9878
0.9878 0.0533 0.2796
0.7204 0.0122 0.9467
0.9467 0.7204 0.0122
```

Results
VASP energy = -66.45 eV/cell
Space group = R-3, No. 148

Entry 18:
A relaxed TaTlAs2 crystal, computed with GGA-PBE.

Cell and atoms, written as POSCAR:
```
TaTlAs2
1.0
3.4051 0.0000 0.0000
0.0000 3.3536 0.0512
0.0000 3.3264 7.4578
Tl As Ta
1 2 1
Direct
0.5000 0.7500 0.7500
0.0000 0.9392 0.0646
0.0000 0.5608 0.4354
0.5000 0.2500 0.2500
```

Results
Energy of formation from the pure elements = -0.117 eV/atom
VASP energy = -23.98 eV/cell
Space group = P2/m, No. 10
Distance to the lowest polymorph of the same formula = 0.0243 eV per atom

Entry 19:
A relaxed CaBeCdSe2 crystal, computed with GGA-PBE.

Cell and atoms, written as POSCAR:
```
CaBeCdSe2
1.0
5.2385 0.0000 0.0000
0.0000 5.7201 0.0000
0.0000 0.0000 5.2385
Be Ca Se Cd
1 1 2 1
Direct
0.5000 0.5000 0.5000
0.0000 0.5000 0.0000
0.0000 0.0000 0.5000
0.5000 0.0000 0.0000
0.0000 0.0000 0.0000
```

Results
VASP energy = -10.79 eV/cell
Space group = P4/mmm, No. 123

Entry 20:
A relaxed TcPb3 crystal, computed with GGA-PBE.

Cell and atoms, written as POSCAR:
```
TcPb3
1.0
4.3477 0.0000 0.0000
0.0000 7.4331 0.0000
0.0000 0.0000 6.5050
Tc Pb
2 6
Direct
0.0000 0.7823 0.0000
0.5000 0.2177 0.5000
0.5000 0.4612 0.0000
0.0000 0.5388 0.5000
0.0000 0.1536 0.2362
0.0000 0.1536 0.7638
0.5000 0.8464 0.7362
0.5000 0.8464 0.2638
```

Results
Energy of formation from the pure elements = 0.572 eV/atom
VASP energy = -38.41 eV/cell
Space group = Pmmn, No. 59
Distance to the lowest polymorph of the same formula = 0.2652 eV per atom

Calculated size of the total moment (μB/cell), listed in the same order as above: 0.0 0.0 0.0 0.0 0.0 0.0 0.0 0.2 6.7 0.0 0.1 0.0 2.0 0.0 3.5 0.0 0.0 0.0 0.0 0.0